No. 1
Material: LiCa3Ni
Method: DFT, PBE-GGA
State: optimized geometry

```
LiCa3Ni
1.0
8.775 0.000 0.000
0.000 3.980 0.000
-4.342 0.000 8.542
Li Ca Ni
2 6 2
Cartesian
-1.166 0.995 3.526 Li
5.599 2.985 5.016 Li
-2.484 0.995 8.050 Ca
1.479 2.985 2.633 Ca
-0.067 2.985 6.133 Ca
4.500 0.995 2.409 Ca
2.954 0.995 5.909 Ca
6.916 2.985 0.492 Ca
3.841 2.985 0.430 Ni
0.592 0.995 8.112 Ni
```

Values from the calculation:
The calculated volume is 298 Å³ per cell. The calculation puts the density of states at the Fermi level at 0.755 states/eV per atom. The energy above the most stable polymorph in this dataset comes out at 0.0 meV/atom. As for the electronic total energy: -2.795 eV per atom.



No. 2
Material: SrLa2Pd
Method: DFT, PBE-GGA
State: optimized geometry

```
SrLa2Pd
1.0
2.088 -6.465 0.000
2.088 6.465 0.000
0.000 0.000 10.164
Sr La Pd
2 4 2
Cartesian
2.088 5.514 7.623 Sr
2.088 -5.514 2.541 Sr
2.088 1.874 5.736 La
2.088 1.874 9.511 La
2.088 -1.874 0.653 La
2.088 -1.874 4.429 La
2.088 3.599 2.541 Pd
2.088 -3.599 7.623 Pd
```

Values from the calculation:
The calculated volume is 274 Å³ per cell. The calculation puts the density of states at the Fermi level at 1.443 states/eV per atom. The energy above the most stable polymorph in this dataset comes out at 0.0 meV/atom. As for the electronic total energy: -4.523 eV per atom.



No. 3
Material: U2Tl3RhSe6
Method: DFT, PBE-GGA
State: optimized geometry

```
U2Tl3RhSe6
1.0
3.384 -5.906 0.000
3.384 5.906 0.000
-2.323 0.000 8.105
U Tl Rh Se
2 3 1 6
Cartesian
3.384 3.980 0.000 U
3.384 -3.980 0.000 U
-1.162 0.000 4.052 Tl
2.223 2.068 4.052 Tl
2.223 -2.068 4.052 Tl
3.384 0.000 0.000 Rh
0.020 1.860 6.520 Se
1.261 0.000 1.671 Se
0.020 -1.860 6.520 Se
4.426 1.860 1.585 Se
3.184 0.000 6.434 Se
4.426 -1.860 1.585 Se
```

Values from the calculation:
The calculated volume is 324 Å³ per cell. The calculation puts the density of states at the Fermi level at 1.525 states/eV per atom. As for the electronic total energy: -5.521 eV per atom.



No. 4
Material: Ru2PbCl
Method: DFT, PBE-GGA
State: optimized geometry

```
Ru2PbCl
1.0
4.874 -1.517 0.000
4.874 1.517 0.000
-4.811 0.000 6.225
Ru Pb Cl
2 1 1
Cartesian
-0.232 0.000 2.109 Ru
5.169 0.000 4.116 Ru
2.469 0.000 3.113 Pb
4.874 0.000 0.000 Cl
```

Values from the calculation:
The calculated volume is 92 Å³ per cell. The calculation puts the density of states at the Fermi level at 1.089 states/eV per atom. The energy above the most stable polymorph in this dataset comes out at 356.4 meV/atom. As for the electronic total energy: -5.504 eV per atom.



No. 5
Material: TbPr6Dy3
Method: DFT, PBE-GGA
State: optimized geometry

```
TbPr6Dy3
1.0
4.954 -10.778 0.000
4.954 10.778 0.000
0.000 0.000 6.490
Tb Pr Dy
2 12 6
Cartesian
4.954 7.402 3.245 Tb
4.954 -7.402 0.000 Tb
4.954 10.434 4.579 Pr
3.228 4.726 1.273 Pr
3.170 1.303 6.147 Pr
4.954 4.311 4.648 Pr
3.170 -1.303 2.902 Pr
6.681 4.726 1.273 Pr
3.228 -4.726 4.518 Pr
6.738 1.303 6.147 Pr
4.954 -4.311 1.403 Pr
6.738 -1.303 2.902 Pr
6.681 -4.726 4.518 Pr
4.954 -10.434 1.334 Pr
1.656 2.703 3.408 Dy
1.656 -2.703 0.164 Dy
4.954 1.719 2.779 Dy
4.954 -1.719 6.024 Dy
8.253 2.703 3.408 Dy
8.253 -2.703 0.164 Dy
```

Values from the calculation:
The calculated volume is 693 Å³ per cell. The calculation puts the density of states at the Fermi level at 1.612 states/eV per atom. The energy above the most stable polymorph in this dataset comes out at 0.0 meV/atom. As for the electronic total energy: -4.588 eV per atom.



No. 6
Material: YNiTe2
Method: DFT, PBE-GGA
State: optimized geometry

```
YNiTe2
1.0
1.884 1.088 8.930
-1.884 1.088 8.930
0.000 -2.175 8.930
Y Ni Te
1 1 2
Cartesian
0.000 0.000 0.000 Y
0.000 0.000 13.395 Ni
0.000 0.000 3.045 Te
0.000 0.000 23.744 Te
```

Values from the calculation:
The calculated volume is 110 Å³ per cell. The calculation puts the density of states at the Fermi level at 0.875 states/eV per atom. As for the electronic total energy: -4.831 eV per atom.



No. 7
Material: HoErPu2
Method: DFT, PBE-GGA
State: optimized geometry

```
HoErPu2
1.0
1.676 0.968 12.074
-1.676 0.968 12.074
0.000 -1.936 12.074
Ho Er Pu
1 1 2
Cartesian
0.000 0.000 0.000 Ho
0.000 0.000 18.111 Er
0.000 0.000 3.137 Pu
0.000 0.000 33.085 Pu
```

Values from the calculation:
The calculated volume is 118 Å³ per cell. The calculation puts the density of states at the Fermi level at 4.356 states/eV per atom. The energy above the most stable polymorph in this dataset comes out at 172.3 meV/atom. As for the electronic total energy: -9.114 eV per atom.



No. 8
Material: CsYI2Cl
Method: DFT, PBE-GGA
State: optimized geometry

```
CsYI2Cl
1.0
6.146 0.000 0.000
0.000 6.146 0.000
0.000 0.000 5.368
Cs Y I Cl
1 1 2 1
Cartesian
0.000 0.000 0.000 Cs
3.073 3.073 2.684 Y
0.000 3.073 2.684 I
3.073 0.000 2.684 I
3.073 3.073 0.000 Cl
```

Values from the calculation:
The calculated volume is 203 Å³ per cell. The calculation puts the density of states at the Fermi level at 0.514 states/eV per atom. As for the electronic total energy: -3.937 eV per atom.